1.
Below is crystalline TaMn4Si at its relaxed geometry, with properties calculated at the PBE level.

**Calculated volume**: 12.4 A^3/atom
**Relative energy among the computed polymorphs**: 0.231 eV/f.u.
**Electronic total energy**: -54.576 eV for the cell shown
**Formation energy (no corrections)**: -0.1037 eV per atom

a b c (Å): 4.7208 4.7208 4.7208
angles (deg): 60.00 60.00 60.00
Positions (direct):
Ta1 0.0000 0.0000 0.0000
Mn1 0.1288 0.6237 0.6237
Mn2 0.6237 0.1288 0.6237
Mn3 0.6237 0.6237 0.1288
Mn4 0.6237 0.6237 0.6237
Si1 0.2500 0.2500 0.2500

***

2.
Below is crystalline DyTmZn2 at its relaxed geometry, with properties calculated at the PBE level.

**ΔH_f (0 K)**: -0.346 eV/atom
**Calculated volume**: 22.3 A^3/atom
**Relative energy among the computed polymorphs**: 0.019 eV/f.u.
**Electronic total energy**: -13.005 eV for the cell shown

a b c (Å): 4.9974 4.9974 3.5673
angles (deg): 90.00 90.00 90.00
Positions (direct):
Dy1 0.0000 0.0000 0.0000
Tm1 0.5000 0.5000 0.0000
Zn1 0.0000 0.5000 0.5000
Zn2 0.5000 0.0000 0.5000

***

3.
Below is crystalline NbVI at its relaxed geometry, with properties calculated at the PBE level.

**Calculated volume**: 22.1 A^3/atom
**Electronic total energy**: -41.088 eV for the cell shown
**Formation energy (no corrections)**: 0.0648 eV per atom

a b c (Å): 3.4155 3.4172 11.3642
angles (deg): 89.28 89.77 89.85
Positions (direct):
Nb1 0.2500 0.2498 0.0700
Nb2 0.7500 0.7502 0.9300
V1 0.2434 0.2294 0.8087
V2 0.7566 0.7706 0.1913
I1 0.2494 0.2482 0.3323
I2 0.7506 0.7518 0.6677

***

4.
Below is crystalline SrSmNi2Sb2 at its relaxed geometry, with properties calculated at the PBE level.

**Calculated volume**: 24.0 A^3/atom
**Electronic total energy**: -30.706 eV for the cell shown
**Formation energy (no corrections)**: -0.7496 eV per atom

a b c (Å): 4.3595 4.3595 8.7502
angles (deg): 90.00 90.00 120.00
Positions (direct):
Sr1 0.0000 0.0000 0.0000
Sm1 0.0000 0.0000 0.5000
Ni1 0.3333 0.6667 0.7177
Ni2 0.6667 0.3333 0.2823
Sb1 0.3333 0.6667 0.2620
Sb2 0.6667 0.3333 0.7380

***

- calculated volume of number 3 (NbVI)?
  22.1 A^3/atom

***

- electronic total energy of number 3 (NbVI)?
  -41.088 eV for the cell shown

***

- Which formula does entry 1 have?
  TaMn4Si

***

- calculated volume of number 2 (DyTmZn2)?
  22.3 A^3/atom